Entry 1:
A plane-wave DFT calculation with PBE was carried out for a relaxed PmGe2Te3 crystal.

The structure in CIF format:
```
data_PmGe2Te3
_cell_length_a 9.092
_cell_length_b 4.240
_cell_length_c 12.260
_cell_angle_alpha 90.00
_cell_angle_beta 108.77
_cell_angle_gamma 90.00
_symmetry_space_group_name_H-M 'P 1'
_symmetry_Int_Tables_number 1
_symmetry_space_group_name_Hall 'P 1'
loop_
_atom_site_label
_atom_site_fract_x
_atom_site_fract_y
_atom_site_fract_z
Pm1 0.220 0.250 0.184
Pm2 0.780 0.750 0.816
Ge1 0.288 0.750 0.467
Ge2 0.474 0.750 0.051
Ge3 0.526 0.250 0.949
Ge4 0.712 0.250 0.533
Te1 0.080 0.250 0.378
Te2 0.162 0.750 0.982
Te3 0.465 0.750 0.317
Te4 0.535 0.250 0.683
Te5 0.838 0.250 0.018
Te6 0.920 0.750 0.622
```

Calculated values
For the raw formation energy, the calculation gives -0.49 eV/atom. The calculation puts the total energy at -52.749 eV for the cell shown. The value obtained for the total moment is 0.00 μB/cell.


Entry 2:
A plane-wave DFT calculation with PBE was carried out for a relaxed CdFe2Au crystal.

The structure in CIF format:
```
data_CdFe2Au
_cell_length_a 9.564
_cell_length_b 2.950
_cell_length_c 4.705
_cell_angle_alpha 90.00
_cell_angle_beta 109.49
_cell_angle_gamma 90.00
_symmetry_space_group_name_H-M 'P 1'
_symmetry_Int_Tables_number 1
_symmetry_space_group_name_Hall 'P 1'
loop_
_atom_site_label
_atom_site_fract_x
_atom_site_fract_y
_atom_site_fract_z
Cd1 0.000 0.000 0.000
Cd2 0.500 0.500 0.000
Fe1 0.267 0.500 0.247
Fe2 0.468 0.000 0.473
Fe3 0.767 0.000 0.247
Fe4 0.968 0.500 0.473
Au1 0.223 0.000 0.704
Au2 0.723 0.500 0.704
```

Calculated values
The calculation puts the formation energy from the elements at 80 kJ/mol of formula units. The calculation puts the total energy at -40.572 eV for the cell shown. The value obtained for the total moment is 10.29 μB/cell.


Entry 3:
A plane-wave DFT calculation with PBE was carried out for a relaxed Li7Nb12O24 crystal.

The structure in CIF format:
```
data_Li7Nb12O24
_cell_length_a 5.141
_cell_length_b 8.907
_cell_length_c 11.043
_cell_angle_alpha 82.29
_cell_angle_beta 76.99
_cell_angle_gamma 90.00
_symmetry_space_group_name_H-M 'P 1'
_symmetry_Int_Tables_number 1
_symmetry_space_group_name_Hall 'P 1'
loop_
_atom_site_label
_atom_site_fract_x
_atom_site_fract_y
_atom_site_fract_z
Li1 0.000 0.000 0.000
Li2 0.001 0.334 0.999
Li3 0.257 0.084 0.499
Li4 0.257 0.417 0.499
Li5 0.743 0.583 0.501
Li6 0.743 0.916 0.501
Li7 0.999 0.666 0.001
Nb1 0.035 0.127 0.254
Nb2 0.035 0.454 0.254
Nb3 0.042 0.791 0.253
Nb4 0.458 0.708 0.752
Nb5 0.467 0.044 0.753
Nb6 0.467 0.372 0.753
Nb7 0.533 0.628 0.247
Nb8 0.533 0.956 0.247
Nb9 0.542 0.292 0.248
Nb10 0.958 0.209 0.747
Nb11 0.965 0.546 0.746
Nb12 0.965 0.873 0.746
O1 0.143 0.600 0.372
O2 0.143 0.943 0.372
O3 0.160 0.271 0.372
O4 0.224 0.189 0.869
O5 0.228 0.520 0.869
O6 0.229 0.857 0.869
O7 0.248 0.642 0.136
O8 0.248 0.979 0.136
O9 0.253 0.310 0.136
O10 0.346 0.228 0.631
O11 0.360 0.556 0.631
O12 0.360 0.901 0.631
O13 0.640 0.099 0.369
O14 0.640 0.444 0.369
O15 0.654 0.772 0.369
O16 0.747 0.690 0.864
O17 0.752 0.021 0.864
O18 0.752 0.358 0.864
O19 0.771 0.143 0.131
O20 0.772 0.480 0.131
O21 0.776 0.811 0.131
O22 0.840 0.729 0.628
O23 0.857 0.057 0.628
O24 0.857 0.400 0.628
```

Calculated values
For the raw formation energy, the calculation gives -2.34 eV/atom. The calculation puts the total energy at -353.667 eV for the cell shown. The value obtained for the total moment is 0.00 μB/cell.